No. 1
DFT (PBE) results for a geometry-optimized Sn4SbSe5 structure.

```
10
Lattice="5.464 0.000 2.635 2.732 6.747 1.318 -0.199 0.000 7.395" Properties=species:S:1:pos:R:3 pbc="T T T"
Sn 3.132 2.700 7.502
Sn 6.450 5.396 7.605
Sn 1.572 1.351 3.755
Sn 4.890 4.048 3.858
Sb 0.010 0.000 0.005
Se 5.827 2.652 8.850
Se 3.679 5.440 6.321
Se 4.306 1.307 5.021
Se 2.158 4.095 2.492
Se 2.750 0.000 1.326
```

## Properties
Formation energy (no corrections) ... -339 meV/atom
Calculated density ... 6.0 g cm⁻³
Fermi-level density of states ... 3.48 states/eV/f.u.

***

No. 2
DFT (PBE) results for a geometry-optimized Pr2Ga7Pd structure.

```
10
Lattice="4.305 0.000 0.000 0.000 4.305 0.000 0.000 0.000 10.774" Properties=species:S:1:pos:R:3 pbc="T T T"
Pr 2.152 0.000 8.112
Pr 0.000 2.152 2.662
Ga 0.000 2.152 9.385
Ga 2.152 0.000 3.879
Ga 2.152 0.000 1.389
Ga 0.000 2.152 6.895
Ga 0.000 0.000 5.387
Ga 0.000 0.000 0.000
Ga 2.152 2.152 5.387
Pd 2.152 2.152 0.000
```

## Properties
Calculated density ... 7.3 g cm⁻³
Formation enthalpy at 0 K ... -0.575 eV per atom
Fermi-level density of states ... 4.42 states/eV/f.u.

***

No. 3
DFT (PBE) results for a geometry-optimized Pm4CdPb3 structure.

```
8
Lattice="-3.492 -2.683 -2.567 3.099 -0.153 -4.045 3.815 -6.223 6.364" Properties=species:S:1:pos:R:3 pbc="T T T"
Pb 1.550 -0.077 -2.022
Pb 0.058 -5.153 0.240
Pb 3.363 -3.906 -0.488
Cd -1.746 -1.342 -1.284
Pm 2.724 -5.757 2.301
Pm 0.697 -3.302 -2.549
Pm 0.891 -1.885 0.758
Pm 2.530 -7.175 -1.006
```

## Properties
Calculated density ... 9.3 g cm⁻³
Formation enthalpy at 0 K ... -0.464 eV per atom
Fermi-level density of states ... 7.79 states/eV/f.u.

***

No. 4
DFT (PBE) results for a geometry-optimized Sr2CuAgH6 structure.

```
10
Lattice="5.473 -0.007 -0.001 -0.007 5.473 -0.001 -2.733 -2.733 3.885" Properties=species:S:1:pos:R:3 pbc="T T T"
Sr 2.736 -0.001 1.941
Sr -0.004 2.739 1.941
Cu 0.000 0.002 0.000
Ag 2.733 2.735 0.000
H 4.184 4.187 -0.001
H 2.733 2.736 2.057
H -1.452 -1.448 3.882
H 1.454 -1.452 3.882
H -0.001 0.002 1.824
H -1.454 1.457 3.882
```

## Properties
Calculated density ... 5.0 g cm⁻³
Fermi-level density of states ... 0.47 states/eV/f.u.
E ... -3.326 eV per atom

***

No. 5
DFT (PBE) results for a geometry-optimized CeDy4Er structure.

```
12
Lattice="-6.272 1.808 1.039 -1.449 -9.016 6.941 5.313 6.390 -0.068" Properties=species:S:1:pos:R:3 pbc="T T T"
Ce -3.861 -3.604 3.990
Ce -3.136 0.904 0.519
Dy -2.892 -1.752 6.617
Dy 2.420 -0.377 4.755
Dy -0.716 0.527 5.274
Dy -2.164 2.774 3.133
Dy -0.244 -3.593 4.779
Dy -4.828 -0.442 3.157
Dy -1.692 -1.346 2.637
Dy 0.483 0.933 1.294
Er -0.480 4.099 0.485
Er 2.656 3.195 -0.034
```

## Properties
Calculated density ... 8.3 g cm⁻³
Formation enthalpy at 0 K ... 0.277 eV per atom
Fermi-level density of states ... 14.58 states/eV/f.u.

***

No. 6
DFT (PBE) results for a geometry-optimized Au2Br4F structure.

```
14
Lattice="-0.662 6.872 -2.712 -4.024 -2.471 -5.720 -4.616 -1.575 8.421" Properties=species:S:1:pos:R:3 pbc="T T T"
Au -5.702 2.127 2.563
Au -5.366 1.639 -4.435
Au -3.339 2.882 -1.567
Au -5.365 -1.294 3.911
Br -2.431 5.155 -0.687
Br -4.263 0.626 -2.475
Br -6.780 3.161 0.600
Br -4.887 4.428 3.248
Br -2.222 1.813 0.486
Br -4.597 1.111 4.540
Br -6.520 -0.229 1.877
Br -4.506 3.898 -3.671
F -3.121 -1.003 -0.390
F -7.486 -2.983 0.884
```

## Properties
Formation energy (no corrections) ... -241 meV/atom
Calculated density ... 5.4 g cm⁻³
Fermi-level density of states ... 2.95 states/eV/f.u.

***

No. 7
DFT (PBE) results for a geometry-optimized HfTl2BAu structure.

```
5
Lattice="5.832 0.000 0.000 0.000 4.256 0.000 0.000 0.000 5.832" Properties=species:S:1:pos:R:3 pbc="T T T"
Hf 0.000 0.000 0.000
Tl 0.000 0.000 2.916
Tl 2.916 0.000 0.000
B 0.000 2.128 0.000
Au 2.916 2.128 2.916
```

## Properties
Calculated density ... 9.1 g cm⁻³
Formation enthalpy at 0 K ... 1.028 eV per atom
Fermi-level density of states ... 2.11 states/eV/f.u.

***

No. 8
DFT (PBE) results for a geometry-optimized Tb2Dy6Y3Tm structure.

```
12
Lattice="-1.882 -2.558 5.258 5.665 2.338 -0.417 -5.230 10.346 1.971" Properties=species:S:1:pos:R:3 pbc="T T T"
Tb 3.149 0.706 1.475
Tb 0.634 -0.926 3.366
Dy -2.348 6.792 6.057
Dy 1.537 2.410 4.123
Dy 0.900 3.334 0.755
Dy 0.165 8.422 4.168
Dy -2.984 7.716 2.689
Dy -1.613 1.704 2.645
Y 1.793 6.696 1.514
Y -3.240 3.430 5.299
Y -0.724 5.063 3.406
Tm 0.000 0.000 0.000
```

## Properties
Calculated density ... 7.6 g cm⁻³
Formation enthalpy at 0 K ... 0.019 eV per atom
Fermi-level density of states ... 16.51 states/eV/f.u.

***

No. 9
DFT (PBE) results for a geometry-optimized PmPrNi structure.

```
6
Lattice="4.323 0.000 0.000 0.000 3.814 -0.645 0.000 -0.306 9.790" Properties=species:S:1:pos:R:3 pbc="T T T"
Pm 1.081 0.234 1.384
Pm 3.242 3.273 7.762
Pr 1.081 0.979 5.795
Pr 3.242 2.528 3.351
Ni 1.081 1.474 8.723
Ni 3.242 2.033 0.422
```

## Properties
Calculated density ... 7.1 g cm⁻³
Formation enthalpy at 0 K ... -0.196 eV per atom
Fermi-level density of states ... 3.12 states/eV/f.u.

***

No. 10
DFT (PBE) results for a geometry-optimized RbPa4Ag3Te12 structure.

```
20
Lattice="-9.118 -1.495 -2.989 1.652 -5.162 8.058 1.283 9.440 1.883" Properties=species:S:1:pos:R:3 pbc="T T T"
Rb 0.000 0.000 0.000
Pa -4.559 -0.747 -1.495
Pa -3.092 1.392 3.476
Pa 0.826 -2.581 4.029
Pa 0.641 4.720 0.942
Ag 1.467 2.139 4.971
Ag -3.733 -3.328 2.534
Ag -3.918 3.973 -0.553
Te -1.304 -3.446 5.958
Te -4.879 6.229 0.994
Te -4.264 -0.445 5.540
Te -6.527 -3.182 3.296
Te -6.886 1.012 -0.792
Te -0.406 0.155 3.989
Te -3.707 -0.668 1.382
Te 0.703 1.771 7.744
Te -1.919 3.228 1.412
Te 0.344 5.965 3.656
Te -5.778 2.628 2.963
Te -2.476 3.451 5.570
```

## Properties
Formation energy (no corrections) ... -582 meV/atom
Calculated density ... 6.7 g cm⁻³

***

No. 11
DFT (PBE) results for a geometry-optimized MgMnOs structure.

```
3
Lattice="4.052 0.000 0.000 2.026 3.509 0.000 2.026 1.170 3.308" Properties=species:S:1:pos:R:3 pbc="T T T"
Mg 4.052 2.339 1.654
Mn 6.077 3.509 2.481
Os 0.000 0.000 0.000
```

## Properties
Calculated density ... 9.5 g cm⁻³
Formation enthalpy at 0 K ... 0.510 eV per atom
Fermi-level density of states ... 1.73 states/eV/f.u.

***

No. 12
DFT (PBE) results for a geometry-optimized PuZnH structure.

```
3
Lattice="4.020 0.000 0.000 0.000 4.020 0.000 -2.010 -2.010 3.570" Properties=species:S:1:pos:R:3 pbc="T T T"
H 2.010 2.010 2.980
Zn 2.010 2.010 1.211
Pu 0.000 0.000 1.878
```

## Properties
Calculated density ... 8.9 g cm⁻³
Fermi-level density of states ... 10.83 states/eV/f.u.
E ... -5.945 eV per atom

***

Question: Look up the calculated density of the fifth one.
Answer: 8.3 g cm⁻³

***

Question: Look up the calculated density of the seventh one.
Answer: 9.1 g cm⁻³

***

Question: Which of these has the highest calculated density?
Answer: MgMnOs